Entry 1:
Pa3CuSe2O6 | PBE-GGA | relaxed

Summary:
DFT total energy	-8.402	eV/atom
SG	C2/m (12)
energy relative to the elements, uncorrected	-2627	meV per atom

Cell lengths 7.026, 7.026, 6.389 Å; angles 105.97, 105.97, 66.30 degrees
Positions (direct):
1 Pa 0.000 0.000 0.000
2 Pa 0.000 0.500 0.500
3 Pa 0.500 0.000 0.500
4 Cu 0.500 0.500 0.500
5 Se 0.168 0.168 0.755
6 Se 0.832 0.832 0.245
7 O 0.087 0.703 0.781
8 O 0.297 0.913 0.219
9 O 0.337 0.337 0.457
10 O 0.663 0.663 0.543
11 O 0.703 0.087 0.781
12 O 0.913 0.297 0.219

=====

Entry 2:
ErAgSnS4 | PBE-GGA | relaxed

Summary:
DFT total energy	-4.900	eV/atom
SG	Imma (74)
energy relative to the elements, uncorrected	-910	meV per atom

Cell lengths 7.814, 7.814, 7.814 Å; angles 120.50, 119.39, 90.10 degrees
Positions (direct):
1 Er 0.000 0.000 0.000
2 Er 0.500 0.000 0.500
3 Ag 0.371 0.621 0.750
4 Ag 0.629 0.379 0.250
5 Sn 0.000 0.000 0.500
6 Sn 0.000 0.500 0.000
7 S 0.226 0.249 0.977
8 S 0.228 0.751 0.477
9 S 0.234 0.222 0.487
10 S 0.234 0.747 0.013
11 S 0.766 0.253 0.987
12 S 0.766 0.778 0.513
13 S 0.772 0.249 0.523
14 S 0.774 0.751 0.023

=====

Entry 3:
HgMo3N | PBE-GGA | relaxed

Summary:
DFT total energy	-8.147	eV/atom
SG	Pm-3m (221)
energy relative to the elements, uncorrected	77	meV per atom

Cell lengths 4.184, 4.184, 4.184 Å; angles 90.00, 90.00, 90.00 degrees
Positions (direct):
1 Hg 0.000 0.000 0.000
2 Mo 0.000 0.500 0.500
3 Mo 0.500 0.000 0.500
4 Mo 0.500 0.500 0.000
5 N 0.500 0.500 0.500

=====

Entry 4:
Pu2TlO | PBE-GGA | relaxed

Summary:
DFT total energy	-9.892	eV/atom
SG	P4/mmm (123)
energy relative to the elements, uncorrected	-895	meV per atom

Cell lengths 3.133, 3.133, 8.267 Å; angles 90.00, 90.00, 90.00 degrees
Positions (direct):
1 Pu 0.000 0.000 0.188
2 Pu 0.000 0.000 0.812
3 Tl 0.500 0.500 0.500
4 O 0.500 0.500 0.000

=====

Entry 5:
La2TbTmTh | PBE-GGA | relaxed

Summary:
DFT total energy	-4.957	eV/atom
calculated formation energy	1.592	eV per formula unit
SG	P2/c (13)

Cell lengths 9.209, 6.330, 6.516 Å; angles 90.00, 110.21, 90.00 degrees
Positions (direct):
1 La 0.184 0.193 0.341
2 La 0.184 0.807 0.841
3 La 0.816 0.193 0.159
4 La 0.816 0.807 0.659
5 Tb 0.000 0.334 0.750
6 Tb 0.000 0.666 0.250
7 Tm 0.500 0.002 0.750
8 Tm 0.500 0.998 0.250
9 Th 0.500 0.500 0.000
10 Th 0.500 0.500 0.500

=====

Entry 6:
ReSb2As | PBE-GGA | relaxed

Summary:
DFT total energy	-5.883	eV/atom
SG	R-3m (166)
energy relative to the elements, uncorrected	453	meV per atom

Cell lengths 8.893, 8.893, 8.893 Å; angles 21.82, 21.82, 21.82 degrees
Positions (direct):
1 Re 0.000 0.000 0.000
2 Sb 0.259 0.259 0.259
3 Sb 0.741 0.741 0.741
4 As 0.500 0.500 0.500

=====

Entry 7:
SiWBr2 | PBE-GGA | relaxed

Summary:
DFT total energy	-5.080	eV/atom
SG	P2/m (10)
energy relative to the elements, uncorrected	351	meV per atom

Cell lengths 4.831, 3.339, 7.661 Å; angles 90.00, 108.28, 90.00 degrees
Positions (direct):
1 Si 0.000 0.000 0.000
2 W 0.500 0.000 0.000
3 Br 0.362 0.500 0.723
4 Br 0.638 0.500 0.277

=====

Entry 8:
Pm5Nd3Tl | PBE-GGA | relaxed

Summary:
DFT total energy	-4.126	eV/atom
calculated formation energy	3.287	eV per formula unit
SG	C2/m (12)

Cell lengths 7.713, 7.713, 11.560 Å; angles 91.00, 91.00, 99.26 degrees
Positions (direct):
1 Pm 0.001 0.483 0.681
2 Pm 0.005 0.005 0.239
3 Pm 0.179 0.179 0.987
4 Pm 0.245 0.755 0.000
5 Pm 0.483 0.001 0.681
6 Pm 0.517 0.999 0.319
7 Pm 0.755 0.245 0.000
8 Pm 0.821 0.821 0.013
9 Pm 0.995 0.995 0.761
10 Pm 0.999 0.517 0.319
11 Nd 0.169 0.169 0.490
12 Nd 0.333 0.333 0.232
13 Nd 0.500 0.500 0.000
14 Nd 0.500 0.500 0.500
15 Nd 0.667 0.667 0.768
16 Nd 0.831 0.831 0.510
17 Tl 0.349 0.349 0.749
18 Tl 0.651 0.651 0.251

=====

Entry 9:
Hg3MoAs | PBE-GGA | relaxed

Summary:
DFT total energy	-2.049	eV/atom
calculated formation energy	6.141	eV per formula unit
SG	Pm-3m (221)

Cell lengths 5.287, 5.287, 5.287 Å; angles 90.00, 90.00, 90.00 degrees
Positions (direct):
1 Hg 0.000 0.000 0.500
2 Hg 0.000 0.500 0.000
3 Hg 0.500 0.000 0.000
4 Mo 0.000 0.000 0.000
5 As 0.500 0.500 0.500

=====

Entry 10:
TbEr3Te4 | PBE-GGA | relaxed

Summary:
DFT total energy	-5.095	eV/atom
SG	Cmmm (65)
energy relative to the elements, uncorrected	-1234	meV per atom

Cell lengths 7.538, 7.538, 4.268 Å; angles 90.00, 90.00, 108.72 degrees
Positions (direct):
1 Tb 0.000 0.000 0.000
2 Er 0.000 0.500 0.500
3 Er 0.500 0.000 0.500
4 Er 0.500 0.500 0.000
5 Te 0.252 0.748 0.000
6 Te 0.253 0.253 0.500
7 Te 0.747 0.747 0.500
8 Te 0.748 0.252 0.000

=====

Entry 11:
Ac6SiAs2S3 | PBE-GGA | relaxed

Summary:
DFT total energy	-5.940	eV/atom
SG	C2/m (12)
energy relative to the elements, uncorrected	-1627	meV per atom

Cell lengths 9.926, 9.926, 8.855 Å; angles 102.12, 102.12, 26.04 degrees
Positions (direct):
1 Ac 0.000 0.000 0.246
2 Ac 0.000 0.000 0.754
3 Ac 0.334 0.334 0.417
4 Ac 0.335 0.335 0.919
5 Ac 0.665 0.665 0.081
6 Ac 0.666 0.666 0.583
7 Si 0.500 0.500 0.000
8 As 0.168 0.168 0.335
9 As 0.832 0.832 0.665
10 S 0.168 0.168 0.832
11 S 0.500 0.500 0.500
12 S 0.832 0.832 0.168

=====

Entry 12:
TbCdGa | PBE-GGA | relaxed

Summary:
DFT total energy	-3.149	eV/atom
calculated formation energy	-0.874	eV per formula unit
SG	I4mm (107)

Cell lengths 6.297, 6.297, 6.297 Å; angles 148.20, 148.20, 45.60 degrees
Positions (direct):
1 Tb 0.000 0.000 0.000
2 Cd 0.689 0.689 0.000
3 Ga 0.335 0.335 0.000